1.
Entry from Alexandria: a geometry-optimized KSn2SbI8 structure (GGA-PBE).

Properties
For the uncorrected formation energy, the calculation gives -567 meV per atom. As for the total magnetization: 0.00 μB/cell. As for the symmetry: P-1 (2).

```
KSn2SbI8
1.0
7.386 0.000 0.000
0.153 7.768 0.000
0.008 0.003 9.511
K Sn Sb I
1 2 1 8
Direct
0.000 0.000 0.000 K
0.500 0.500 0.252 Sn
0.500 0.500 0.748 Sn
0.000 0.000 0.500 Sb
0.238 0.324 0.500 I
0.248 0.839 0.723 I
0.248 0.840 0.277 I
0.274 0.363 0.000 I
0.726 0.637 0.000 I
0.752 0.160 0.723 I
0.752 0.161 0.277 I
0.762 0.676 0.500 I
```

2.
Entry from Alexandria: a geometry-optimized MgH2Pd structure (GGA-PBE).

Properties
As for the total magnetization: 0.00 μB/cell. As for the symmetry: Fm-3m (225). As for the total energy: -50.98 eV per cell.

```
MgH2Pd
1.0
5.428 0.000 0.000
0.000 5.428 0.000
0.000 0.000 5.428
Mg H Pd
4 8 4
Direct
0.000 0.000 0.000 Mg
0.000 0.500 0.500 Mg
0.500 0.000 0.500 Mg
0.500 0.500 0.000 Mg
0.250 0.250 0.250 H
0.250 0.250 0.750 H
0.250 0.750 0.250 H
0.250 0.750 0.750 H
0.750 0.250 0.250 H
0.750 0.250 0.750 H
0.750 0.750 0.250 H
0.750 0.750 0.750 H
0.000 0.000 0.500 Pd
0.000 0.500 0.000 Pd
0.500 0.000 0.000 Pd
0.500 0.500 0.500 Pd
```

3.
Entry from Alexandria: a geometry-optimized DyLuMgZn structure (GGA-PBE).

Properties
As for the total magnetization: 0.18 μB/cell. As for the symmetry: F-43m (216). Its formation energy from the elements is -0.1702 eV/atom.

```
DyLuMgZn
1.0
7.273 0.000 0.000
0.000 7.273 0.000
0.000 0.000 7.273
Dy Lu Mg Zn
4 4 4 4
Direct
0.000 0.000 0.000 Dy
0.000 0.500 0.500 Dy
0.500 0.000 0.500 Dy
0.500 0.500 0.000 Dy
0.000 0.000 0.500 Lu
0.000 0.500 0.000 Lu
0.500 0.000 0.000 Lu
0.500 0.500 0.500 Lu
0.250 0.250 0.250 Mg
0.250 0.750 0.750 Mg
0.750 0.250 0.750 Mg
0.750 0.750 0.250 Mg
0.250 0.250 0.750 Zn
0.250 0.750 0.250 Zn
0.750 0.250 0.250 Zn
0.750 0.750 0.750 Zn
```

4.
Entry from Alexandria: a geometry-optimized RbNi2W structure (GGA-PBE).

Properties
As for the total magnetization: 5.61 μB/cell. As for the symmetry: Fm-3m (225). Its formation energy from the elements is 1.6566 eV/atom.

```
RbNi2W
1.0
6.556 0.000 0.000
0.000 6.556 0.000
0.000 0.000 6.556
Rb Ni W
4 8 4
Direct
0.000 0.000 0.000 Rb
0.000 0.500 0.500 Rb
0.500 0.000 0.500 Rb
0.500 0.500 0.000 Rb
0.250 0.250 0.250 Ni
0.250 0.250 0.750 Ni
0.250 0.750 0.250 Ni
0.250 0.750 0.750 Ni
0.750 0.250 0.250 Ni
0.750 0.250 0.750 Ni
0.750 0.750 0.250 Ni
0.750 0.750 0.750 Ni
0.000 0.000 0.500 W
0.000 0.500 0.000 W
0.500 0.000 0.000 W
0.500 0.500 0.500 W
```

5.
Entry from Alexandria: a geometry-optimized MgFe2Ag structure (GGA-PBE).

Properties
As for the total magnetization: 15.39 μB/cell. As for the symmetry: R-3m (166). Its formation energy from the elements is 0.4008 eV/atom.

```
MgFe2Ag
1.0
2.758 0.000 0.000
-1.379 2.388 0.000
0.000 0.000 27.646
Mg Fe Ag
3 6 3
Direct
0.000 0.000 0.000 Mg
0.333 0.667 0.667 Mg
0.667 0.333 0.333 Mg
0.000 0.000 0.250 Fe
0.000 0.000 0.750 Fe
0.333 0.667 0.416 Fe
0.333 0.667 0.917 Fe
0.667 0.333 0.083 Fe
0.667 0.333 0.584 Fe
0.000 0.000 0.500 Ag
0.333 0.667 0.167 Ag
0.667 0.333 0.833 Ag
```

6.
Entry from Alexandria: a geometry-optimized TaCoAg2 structure (GGA-PBE).

Properties
As for the total magnetization: 1.52 μB/cell. As for the symmetry: C2/m (12). Its formation energy from the elements is 0.3280 eV/atom.

```
TaCoAg2
1.0
9.862 0.000 0.000
0.000 2.840 0.000
-0.951 0.000 4.533
Ta Co Ag
2 2 4
Direct
0.000 0.000 0.000 Ta
0.500 0.500 0.000 Ta
0.000 0.500 0.500 Co
0.500 0.000 0.500 Co
0.240 0.000 0.743 Ag
0.260 0.500 0.257 Ag
0.740 0.500 0.743 Ag
0.760 0.000 0.257 Ag
```